[1]
PaBH2O6 | Alexandria | PBE | relaxed; energy = -72.3 eV/cell; spin magnetization = 0.0 μB per cell; symmetry = P1, No. 1
1.0
4.3642 0.0000 0.0000
1.2978 4.4902 0.0000
1.0962 0.9479 5.2725
Pa B H O
1 1 2 6
direct
0.0000 0.0000 0.0000
0.3564 0.0333 0.4345
0.0789 0.5305 0.7633
0.8736 0.2725 0.4656
0.0098 0.5219 0.9483
0.0667 0.2566 0.5417
0.2535 0.8445 0.3074
0.4771 0.8351 0.6805
0.5222 0.0514 0.8211
0.6151 0.1560 0.2780

***

[2]
BH2PbO4 | Alexandria | PBE | relaxed; energy = -46.8 eV/cell; spin magnetization = 0.0 μB per cell; symmetry = I222, No. 23
1.0
-1.9942 2.7955 3.1354
1.9942 -2.7955 3.1354
1.9942 2.7955 -3.1354
B H Pb O
1 2 1 4
direct
0.0000 0.0000 0.0000
0.1483 0.6483 0.5000
0.8517 0.3517 0.5000
0.5000 0.5000 0.0000
0.0170 0.3841 0.1107
0.2735 0.9063 0.8893
0.7265 0.6159 0.6328
0.9830 0.0937 0.3672

***

[3]
BHPb2O4 | Alexandria | PBE | relaxed; energy = -92.5 eV/cell; spin magnetization = 0.0 μB per cell; symmetry = Imma, No. 74
1.0
-3.9038 4.6421 3.5193
3.9038 -4.6421 3.5193
3.9038 4.6421 -3.5193
B H Pb O
2 2 4 8
direct
0.5000 0.0000 0.0000
0.5000 0.5000 0.5000
0.0000 0.0000 0.0000
0.5000 0.0000 0.5000
0.0000 0.0000 0.5000
0.0000 0.5000 0.0000
0.0000 0.5000 0.5000
0.5000 0.5000 0.0000
0.1041 0.1635 0.9407
0.2772 0.8365 0.4407
0.3436 0.4228 0.5792
0.3436 0.7645 0.9208
0.6564 0.2355 0.0792
0.6564 0.5772 0.4208
0.7228 0.1635 0.5593
0.8959 0.8365 0.0593

***

[4]
BHPb2O4 | Alexandria | PBE | relaxed; energy = -99.6 eV/cell; spin magnetization = 0.0 μB per cell; symmetry = C2/m, No. 12
1.0
6.6331 -2.9166 0.0000
6.6331 2.9166 0.0000
-3.4961 0.0000 6.8034
B H Pb O
2 2 4 8
direct
0.1682 0.1682 0.1626
0.8318 0.8318 0.8374
0.0428 0.0428 0.8882
0.9572 0.9572 0.1118
0.1518 0.1518 0.5634
0.4352 0.4352 0.2369
0.5648 0.5648 0.7631
0.8482 0.8482 0.4366
0.0890 0.0890 0.2324
0.1296 0.1296 0.9576
0.2468 0.7532 0.5000
0.2819 0.2819 0.2905
0.7181 0.7181 0.7095
0.7532 0.2468 0.5000
0.8704 0.8704 0.0424
0.9110 0.9110 0.7676

***

[5]
Rb2BHO2 | Alexandria | PBE | relaxed; energy = -62.2 eV/cell; spin magnetization = 0.0 μB per cell; symmetry = Cmc2_1, No. 36
1.0
5.8225 -3.1060 0.0000
5.8225 3.1060 0.0000
0.0000 0.0000 6.0728
Rb B H O
4 2 2 4
direct
0.0915 0.6086 0.5000
0.3914 0.9085 0.5000
0.6086 0.0915 0.0000
0.9085 0.3914 0.0000
0.2758 0.7242 0.9732
0.7242 0.2758 0.4732
0.4261 0.5739 0.8274
0.5739 0.4261 0.3274
0.1037 0.6828 0.0325
0.3172 0.8963 0.0325
0.6828 0.1037 0.5325
0.8963 0.3172 0.5325

***

[6]
Rb2B10H6O19 | Alexandria | PBE | relaxed; energy = -522.4 eV/cell; spin magnetization = 0.0 μB per cell; symmetry = P-1, No. 2
1.0
7.8121 0.0000 0.0000
-0.2274 9.2739 0.0000
-3.4720 -2.0825 11.5060
Rb B H O
4 20 12 38
direct
0.0173 0.4490 0.2453
0.4079 0.2208 0.7115
0.5921 0.7792 0.2885
0.9827 0.5510 0.7547
0.0795 0.1451 0.9692
0.0854 0.8389 0.4354
0.0989 0.8381 0.2337
0.1330 0.6710 0.0600
0.2767 0.0225 0.4017
0.3175 0.5495 0.5633
0.3218 0.4553 0.0584
0.4587 0.2517 0.3990
0.4956 0.7442 0.9703
0.4992 0.3586 0.2323
0.5008 0.6414 0.7677
0.5044 0.2558 0.0297
0.5413 0.7483 0.6010
0.6782 0.5447 0.9416
0.6825 0.4505 0.4367
0.7233 0.9775 0.5983
0.8670 0.3290 0.9400
0.9011 0.1619 0.7663
0.9146 0.1611 0.5646
0.9205 0.8549 0.0308
0.0711 0.8143 0.5956
0.1038 0.9415 0.7796
0.1266 0.3768 0.5040
0.2338 0.1131 0.1257
0.2457 0.8215 0.7788
0.3637 0.9162 0.0240
0.6363 0.0838 0.9760
0.7543 0.1785 0.2212
0.7662 0.8869 0.8743
0.8734 0.6232 0.4960
0.8962 0.0585 0.2204
0.9289 0.1857 0.4044
0.0072 0.7411 0.9838
0.0217 0.7717 0.5095
0.0220 0.7856 0.3187
0.0451 0.1028 0.8524
0.1289 0.8505 0.7337
0.1752 0.7135 0.1765
0.1961 0.4507 0.4801
0.2047 0.5528 0.0071
0.2061 0.0748 0.0421
0.2078 0.9619 0.4792
0.2422 0.9566 0.2890
0.3511 0.5493 0.6797
0.3718 0.4569 0.1743
0.3816 0.3535 0.9826
0.3866 0.1499 0.4486
0.4041 0.2595 0.2837
0.4065 0.6515 0.5224
0.4278 0.7352 0.8529
0.4476 0.8434 0.0512
0.5524 0.1566 0.9488
0.5722 0.2648 0.1471
0.5935 0.3485 0.4776
0.5959 0.7405 0.7163
0.6134 0.8501 0.5514
0.6184 0.6465 0.0174
0.6282 0.5431 0.8257
0.6489 0.4507 0.3203
0.7578 0.0434 0.7110
0.7922 0.0381 0.5208
0.7939 0.9252 0.9579
0.7953 0.4472 0.9929
0.8039 0.5493 0.5199
0.8248 0.2865 0.8235
0.8711 0.1495 0.2663
0.9549 0.8972 0.1476
0.9780 0.2144 0.6813
0.9783 0.2283 0.4905
0.9928 0.2589 0.0162

***

[7]
ReBHO2 | Alexandria | PBE | relaxed; energy = -30.6 eV/cell; spin magnetization = 1.8 μB per cell; symmetry = P4/mmm, No. 123
1.0
2.9221 0.0000 0.0000
0.0000 2.9221 0.0000
0.0000 0.0000 7.2915
Re B H O
1 1 1 2
direct
0.0000 0.0000 0.0000
0.0000 0.0000 0.5000
0.5000 0.5000 0.0000
0.0000 0.5000 0.5000
0.5000 0.0000 0.5000

***

[8]
SrB6H8O14 | Alexandria | PBE | relaxed; energy = -778.4 eV/cell; spin magnetization = 0.0 μB per cell; symmetry = P2_1/c, No. 14
1.0
10.0120 0.0000 0.0000
0.0000 8.2721 0.0000
-5.9257 0.0000 13.2905
Sr B H O
4 24 32 56
direct
0.1930 0.0636 0.1610
0.1930 0.4364 0.6610
0.8070 0.5636 0.3389
0.8070 0.9364 0.8390
0.0234 0.1116 0.7501
0.0234 0.3884 0.2501
0.1532 0.6544 0.3087
0.1532 0.8456 0.8087
0.2201 0.0423 0.6908
0.2201 0.4577 0.1908
0.3734 0.7495 0.9578
0.3734 0.7505 0.4578
0.4173 0.6606 0.3090
0.4173 0.8394 0.8090
0.4833 0.1062 0.7538
0.4833 0.3938 0.2538
0.5167 0.6062 0.7462
0.5167 0.8938 0.2462
0.5827 0.1606 0.1910
0.5827 0.3394 0.6910
0.6266 0.2495 0.5422
0.6266 0.2505 0.0422
0.7799 0.5423 0.8092
0.7799 0.9577 0.3092
0.8468 0.1544 0.1913
0.8468 0.3456 0.6913
0.9766 0.6116 0.7499
0.9766 0.8884 0.2499
0.0929 0.7361 0.0581
0.0929 0.7639 0.5581
0.1322 0.6737 0.4804
0.1322 0.8263 0.9804
0.1527 0.0334 0.5401
0.1527 0.4666 0.0401
0.1965 0.1049 0.9459
0.1965 0.3951 0.4459
0.2445 0.1452 0.3958
0.2445 0.3548 0.8958
0.3443 0.1865 0.0235
0.3443 0.3135 0.5235
0.3502 0.6417 0.0732
0.3502 0.8583 0.5732
0.3928 0.1114 0.3892
0.3928 0.3886 0.8892
0.6072 0.6114 0.1108
0.6072 0.8886 0.6108
0.6498 0.1417 0.4268
0.6498 0.3583 0.9268
0.6557 0.6865 0.4765
0.6557 0.8135 0.9765
0.7555 0.6452 0.1042
0.7555 0.8548 0.6042
0.8035 0.6049 0.5541
0.8035 0.8951 0.0541
0.8473 0.5334 0.9599
0.8473 0.9666 0.4599
0.8678 0.1737 0.0196
0.8678 0.3263 0.5196
0.9071 0.2361 0.4419
0.9071 0.2639 0.9419
0.0527 0.5255 0.3101
0.0527 0.9745 0.8101
0.0783 0.6571 0.5242
0.0783 0.8429 0.0242
0.0786 0.7132 0.7413
0.0786 0.7868 0.2414
0.0969 0.1407 0.6901
0.0969 0.3593 0.1901
0.1831 0.5446 0.0951
0.1831 0.9554 0.5951
0.2281 0.7112 0.4123
0.2281 0.7888 0.9123
0.2353 0.1883 0.9979
0.2353 0.3117 0.4979
0.2657 0.5819 0.2748
0.2657 0.9181 0.7748
0.2869 0.0843 0.3564
0.2869 0.4157 0.8564
0.3406 0.1557 0.7083
0.3406 0.3443 0.2083
0.4014 0.6966 0.7457
0.4014 0.8034 0.2457
0.4272 0.6752 0.0510
0.4272 0.8248 0.5510
0.4686 0.7093 0.4156
0.4686 0.7907 0.9156
0.4798 0.0425 0.1995
0.4798 0.4575 0.6995
0.5202 0.5425 0.3005
0.5202 0.9575 0.8005
0.5314 0.2093 0.0844
0.5314 0.2907 0.5844
0.5728 0.1752 0.4490
0.5728 0.3248 0.9490
0.5986 0.1966 0.7543
0.5986 0.3034 0.2543
0.6594 0.6557 0.7917
0.6594 0.8443 0.2917
0.7131 0.5843 0.1436
0.7131 0.9157 0.6436
0.7343 0.0819 0.2252
0.7343 0.4181 0.7252
0.7647 0.6883 0.5021
0.7647 0.8117 0.0021
0.7719 0.2112 0.0877
0.7719 0.2888 0.5877
0.8169 0.0446 0.4049
0.8169 0.4554 0.9049
0.9031 0.6407 0.8099
0.9031 0.8593 0.3099
0.9214 0.2132 0.7587
0.9214 0.2868 0.2586
0.9217 0.1571 0.9758
0.9217 0.3429 0.4758
0.9473 0.0255 0.1899
0.9473 0.4745 0.6899

***

[9]
Sr2B5HO10 | Alexandria | PBE | relaxed; energy = -543.4 eV/cell; spin magnetization = 0.0 μB per cell; symmetry = P2_1/c, No. 14
1.0
6.5629 0.0000 0.0000
0.0000 8.5189 0.0000
-1.1173 0.0000 14.4059
Sr B H O
8 20 4 40
direct
0.0229 0.1614 0.1083
0.0229 0.3386 0.6083
0.4526 0.5010 0.2302
0.4526 0.9990 0.7302
0.5474 0.0010 0.2698
0.5474 0.4990 0.7698
0.9771 0.6614 0.3917
0.9771 0.8386 0.8917
0.0319 0.6578 0.6827
0.0319 0.8422 0.1827
0.0736 0.0568 0.3162
0.0736 0.4432 0.8162
0.3072 0.2284 0.8934
0.3072 0.2716 0.3934
0.3138 0.6858 0.5653
0.3138 0.8142 0.0653
0.4613 0.2107 0.0620
0.4613 0.2893 0.5620
0.5387 0.7107 0.4380
0.5387 0.7893 0.9380
0.6862 0.1858 0.9347
0.6862 0.3142 0.4347
0.6928 0.7284 0.6066
0.6928 0.7716 0.1066
0.9264 0.5568 0.1838
0.9264 0.9432 0.6838
0.9681 0.1578 0.8173
0.9681 0.3422 0.3173
0.0813 0.5146 0.0681
0.0813 0.9854 0.5681
0.9187 0.0146 0.4319
0.9187 0.4854 0.9319
0.0576 0.6863 0.2223
0.0576 0.8137 0.7223
0.0606 0.0437 0.6245
0.0606 0.4563 0.1245
0.1198 0.6495 0.5849
0.1198 0.8505 0.0849
0.1421 0.5397 0.7398
0.1421 0.9603 0.2398
0.1838 0.1133 0.8384
0.1838 0.3867 0.3384
0.2569 0.1098 0.3707
0.2569 0.3902 0.8707
0.2982 0.2008 0.9954
0.2982 0.2992 0.4954
0.3398 0.7074 0.4708
0.3398 0.7926 0.9708
0.4338 0.2172 0.1528
0.4338 0.2828 0.6528
0.4731 0.7019 0.6313
0.4731 0.7981 0.1313
0.5269 0.2019 0.8687
0.5269 0.2981 0.3687
0.5662 0.7172 0.3472
0.5662 0.7828 0.8472
0.6602 0.2074 0.0292
0.6602 0.2926 0.5292
0.7018 0.7008 0.5046
0.7018 0.7992 0.0046
0.7431 0.6098 0.1293
0.7431 0.8902 0.6293
0.8162 0.6133 0.6616
0.8162 0.8867 0.1616
0.8579 0.0397 0.7602
0.8579 0.4603 0.2602
0.8802 0.1495 0.9151
0.8802 0.3505 0.4151
0.9394 0.5437 0.8755
0.9394 0.9563 0.3755
0.9424 0.1863 0.2777
0.9424 0.3137 0.7777

***

[10]
SrB12H12O8 | Alexandria | PBE | relaxed; energy = -169.2 eV/cell; spin magnetization = 5.7 μB per cell; symmetry = R-3, No. 148
1.0
5.4663 3.1560 3.2852
-5.4663 3.1560 3.2852
0.0000 -6.3119 3.2852
Sr B H O
1 12 12 8
direct
0.0000 0.0000 0.0000
0.2228 0.3981 0.4473
0.3519 0.6428 0.4175
0.3572 0.5825 0.6481
0.3981 0.4473 0.2228
0.4175 0.3519 0.6428
0.4473 0.2228 0.3981
0.5527 0.7772 0.6019
0.5825 0.6481 0.3572
0.6019 0.5526 0.7772
0.6428 0.4175 0.3519
0.6481 0.3572 0.5825
0.7772 0.6019 0.5527
0.0511 0.3611 0.4410
0.2382 0.6236 0.7381
0.2619 0.7618 0.3764
0.3611 0.4410 0.0511
0.3764 0.2619 0.7618
0.4410 0.0511 0.3611
0.5590 0.9489 0.6389
0.6236 0.7381 0.2382
0.6389 0.5590 0.9489
0.7381 0.2382 0.6236
0.7618 0.3764 0.2619
0.9489 0.6389 0.5590
0.0361 0.0511 0.5859
0.0511 0.5859 0.0361
0.2702 0.2702 0.2702
0.4141 0.9639 0.9489
0.5859 0.0361 0.0511
0.7298 0.7298 0.7298
0.9489 0.4141 0.9639
0.9639 0.9489 0.4141

***

Question: Which formula does entry 7 have?
Answer: ReBHO2

***

Question: The highest spin magnetization belongs to which entry?
Answer: SrB12H12O8